Entry 1:
# YMgGa4, relaxed, DFT PBE-GGA
# uncorrected energy = -3.76 eV/atom
# V = 19.5 Å³/atom
# D(E_F) = 2.101 states/eV/f.u.
# E_form = -0.3961 eV per atom
# theoretical density = 5.551 g/cm³
# energy above the most stable polymorph in this dataset = 0.000 eV per atom
data_YMgGa4
_chemical_formula_sum 'Y2 Mg2 Ga8'
_cell_length_a 4.347
_cell_length_b 6.688
_cell_length_c 8.070
_cell_angle_alpha 90.00
_cell_angle_beta 90.00
_cell_angle_gamma 90.00
_space_group_name_H-M_alt 'I m m m'
_space_group_IT_number 71
_space_group_name_Hall '-I 2 2'
loop_
_atom_site_label
_atom_site_fract_x
_atom_site_fract_y
_atom_site_fract_z
Y1 0.000 0.000 0.000
Mg1 0.000 0.500 0.000
Ga1 0.000 0.212 0.336

---

Entry 2:
# CeGdTe2, relaxed, DFT PBE-GGA
# energy relative to the elements, uncorrected = -1.255 eV per atom
# uncorrected energy = -7.83 eV/atom
# V = 28.3 Å³/atom
# D(E_F) = 9.802 states/eV/f.u.
# theoretical density = 8.094 g/cm³
data_CeGdTe2
_chemical_formula_sum 'Ce4 Gd4 Te8'
_cell_length_a 7.683
_cell_length_b 7.683
_cell_length_c 7.683
_cell_angle_alpha 90.00
_cell_angle_beta 90.00
_cell_angle_gamma 90.00
_space_group_name_H-M_alt 'F m -3 m'
_space_group_IT_number 225
_space_group_name_Hall '-F 4 2 3'
loop_
_atom_site_label
_atom_site_fract_x
_atom_site_fract_y
_atom_site_fract_z
Ce1 0.000 0.000 0.000
Gd1 0.000 0.000 0.500
Te1 0.250 0.250 0.250